Below is a relaxed structure of HfZrFeCu, with properties calculated at the GGA-PBE level.

Cell lengths 4.5405, 4.5405, 4.5405 Å; angles 60.00, 60.00, 60.00 degrees
Closest atoms and distances in Å follow each position.
Fractional coordinates of all 4 atoms:
Cu 0.2500 0.2500 0.2500  4 Hf 2.78, 4 Zr 2.78
Zr 0.0000 0.0000 0.0000  4 Cu 2.78, 4 Fe 2.78
Fe 0.7500 0.7500 0.7500  4 Hf 2.78, 4 Zr 2.78
Hf 0.5000 0.5000 0.5000  4 Fe 2.78, 4 Cu 2.78

The space group is F-43m. The calculation puts the density of states at the Fermi level at 3.5 states/eV/f.u. The value obtained for the total energy is -0.2914 hartree per atom.

***

Below is a relaxed structure of Dy7AlSe5, with properties calculated at the GGA-PBE level.

Cell lengths 4.0152, 7.0212, 24.2311 Å; angles 90.00, 90.00, 106.61 degrees
Closest atoms and distances in Å follow each position.
Fractional coordinates of all 26 atoms:
Dy 0.1891 0.3783 0.1792  3 Se 2.85-2.88, 2 Al 3.11
Dy 0.8114 0.6229 0.8208  3 Se 2.85-2.88, 2 Al 3.11
Dy 0.0948 0.1896 0.6186  5 Se 2.86-3.14
Al 0.8107 0.6214 0.2500  6 Dy 3.01-3.11
Se 0.4489 0.8977 0.6413  6 Dy 2.80-2.88
Se 0.0003 0.0006 0.0000  6 Dy 2.88-3.14
Dy 0.3618 0.7237 0.5362  6 Se 2.80-2.88
Dy 0.4772 0.9545 0.2500  2 Se 2.82, 2 Al 3.01
Se 0.7239 0.4479 0.5719  6 Dy 2.85-2.89
Se 0.0003 0.0006 0.5000  6 Dy 2.88-3.14
Se 0.5517 0.1035 0.1413  6 Dy 2.80-2.88
Se 0.2766 0.5533 0.4281  6 Dy 2.85-2.89
Dy 0.9058 0.8116 0.1186  5 Se 2.86-3.14
Se 0.5517 0.1034 0.3588  6 Dy 2.80-2.88
Dy 0.6387 0.2775 0.4638  6 Se 2.80-2.88
Dy 0.6387 0.2775 0.0362  6 Se 2.80-2.88
Se 0.7239 0.4478 0.9281  6 Dy 2.85-2.89
Se 0.4488 0.8977 0.8588  6 Dy 2.80-2.88
Dy 0.0948 0.1896 0.8814  5 Se 2.86-3.14
Al 0.1899 0.3797 0.7500  6 Dy 3.01-3.11
Dy 0.1891 0.3782 0.3209  3 Se 2.85-2.88, 2 Al 3.11
Dy 0.8115 0.6229 0.6791  3 Se 2.85-2.88, 2 Al 3.11
Se 0.2766 0.5533 0.0719  6 Dy 2.85-2.89
Dy 0.9058 0.8115 0.3814  5 Se 2.86-3.14
Dy 0.3618 0.7236 0.9638  6 Se 2.80-2.88
Dy 0.5233 0.0467 0.7500  2 Se 2.82, 2 Al 3.01

The space group is Cmcm. Its energy relative to the elements, uncorrected is -1.42 eV per atom. The calculation puts the density of states at the Fermi level at 8.1 states/eV/f.u. The value obtained for the total energy is -0.2029 hartree per atom.

***

Below is a relaxed structure of Dy6AgTe3Se2, with properties calculated at the GGA-PBE level.

Cell lengths 7.3262, 7.3262, 7.4078 Å; angles 99.52, 99.52, 120.00 degrees
Closest atoms and distances in Å follow each position.
Fractional coordinates of all 12 atoms:
Te 0.8316 0.1684 0.5000  6 Dy 3.08-3.11
Te 0.5000 0.5000 0.5000  6 Dy 3.10-3.11
Dy 0.5913 0.9257 0.7736  2 Se 2.91-2.92, 1 Ag 2.91, 3 Te 3.08-3.11
Dy 0.7420 0.7420 0.2270  2 Se 2.90, 1 Ag 2.92, 3 Te 3.10-3.11
Ag 0.0000 0.0000 0.0000  6 Dy 2.91-2.92
Dy 0.9257 0.5913 0.7736  2 Se 2.91-2.92, 1 Ag 2.91, 3 Te 3.08-3.11
Dy 0.4087 0.0743 0.2264  2 Se 2.91-2.92, 1 Ag 2.91, 3 Te 3.08-3.11
Dy 0.0743 0.4087 0.2264  2 Se 2.91-2.92, 1 Ag 2.91, 3 Te 3.08-3.11
Dy 0.2580 0.2580 0.7730  2 Se 2.90, 1 Ag 2.92, 3 Te 3.10-3.11
Te 0.1684 0.8316 0.5000  6 Dy 3.08-3.11
Se 0.6656 0.3344 0.0000  6 Dy 2.90-2.92
Se 0.3344 0.6656 0.0000  6 Dy 2.90-2.92

The space group is C2/m. Its energy relative to the elements, uncorrected is -1.28 eV per atom. The calculation puts the density of states at the Fermi level at 5.5 states/eV/f.u. The value obtained for the total energy is -0.1907 hartree per atom.

***

Quick rundown of spin magnetization, same order as above: 0.22 0.00 0.00 Bohr magnetons per cell